1.
Computed, not measured: crystalline SrSn2PbS4 at its relaxed geometry at the PBE-GGA level of DFT.

Unit cell a=7.287 b=4.208 c=7.298 alpha=90.00 beta=109.42 gamma=90.00
Element x y z (fractional)
Sr 0.000 0.000 0.000
Sn 0.000 0.500 0.500
Sn 0.500 0.000 0.500
Pb 0.500 0.500 0.000
S 0.246 0.000 0.743
S 0.249 0.500 0.255
S 0.751 0.500 0.745
S 0.754 0.000 0.257

Values from the calculation:
Calculated total energy = -4.5945 eV/atom
Formation energy (no corrections) = -0.856 eV per atom
Space-group type = P2/m
Fermi-level density of states = 0.0 states/eV per cell

=====

2.
Computed, not measured: crystalline Fe2SiMo at its relaxed geometry at the PBE-GGA level of DFT.

Unit cell a=2.643 b=4.013 c=4.853 alpha=90.00 beta=101.42 gamma=90.00
Element x y z (fractional)
Fe 0.239 0.000 0.262
Fe 0.761 0.000 0.738
Si 0.000 0.500 0.500
Mo 0.500 0.500 0.000

Values from the calculation:
Calculated total energy = -8.3615 eV/atom
Formation energy (no corrections) = -0.067 eV per atom
Space-group type = P2/m
Fermi-level density of states = 2.8 states/eV per cell

=====

3.
Computed, not measured: crystalline Nd4Br3N2 at its relaxed geometry at the PBE-GGA level of DFT.

Unit cell a=7.591 b=7.591 c=8.739 alpha=103.02 beta=103.02 gamma=27.30
Element x y z (fractional)
Nd 0.095 0.095 0.215
Nd 0.316 0.316 0.400
Nd 0.684 0.684 0.600
Nd 0.905 0.905 0.785
Br 0.000 0.000 0.500
Br 0.406 0.406 0.095
Br 0.594 0.594 0.905
N 0.301 0.301 0.683
N 0.699 0.699 0.317

Values from the calculation:
Calculated total energy = -5.9383 eV/atom
Formation energy (no corrections) = -1.412 eV per atom
Space-group type = C2/m
Fermi-level density of states = 2.6 states/eV per cell

=====

4.
Computed, not measured: crystalline CdS2O at its relaxed geometry at the PBE-GGA level of DFT.

Unit cell a=9.101 b=9.101 c=9.101 alpha=18.34 beta=18.34 gamma=18.34
Element x y z (fractional)
Cd 0.000 0.000 0.000
S 0.108 0.108 0.108
S 0.892 0.892 0.892
O 0.500 0.500 0.500

Values from the calculation:
Calculated total energy = -2.7056 eV/atom
Formation energy (no corrections) = 0.826 eV per atom
Space-group type = R-3m
E above lowest polymorph = 0.7889 eV/atom
Fermi-level density of states = 3.5 states/eV per cell

=====

5.
Computed, not measured: crystalline NiGeRu at its relaxed geometry at the PBE-GGA level of DFT.

Unit cell a=4.184 b=4.184 c=5.088 alpha=90.00 beta=90.00 gamma=116.32
Element x y z (fractional)
Ni 0.000 0.000 0.000
Ni 0.000 0.000 0.500
Ge 0.306 0.694 0.750
Ge 0.694 0.306 0.250
Ru 0.355 0.645 0.250
Ru 0.645 0.355 0.750

Values from the calculation:
Calculated total energy = -6.6756 eV/atom
Space-group type = Cmcm
Fermi-level density of states = 6.0 states/eV per cell

=====

6.
Computed, not measured: crystalline AgBiPb2 at its relaxed geometry at the PBE-GGA level of DFT.

Unit cell a=4.711 b=4.711 c=5.113 alpha=90.00 beta=90.00 gamma=90.00
Element x y z (fractional)
Ag 0.000 0.000 0.000
Bi 0.500 0.500 0.000
Pb 0.000 0.500 0.500
Pb 0.500 0.000 0.500

Values from the calculation:
Calculated total energy = -3.4325 eV/atom
Space-group type = P4/mmm
Fermi-level density of states = 2.2 states/eV per cell

=====

| no. | total moment (μB/f.u.) |
| --- | --- |
| 1 | 0.00 |
| 2 | 3.35 |
| 3 | 0.00 |
| 4 | 0.00 |
| 5 | 0.00 |
| 6 | 0.00 |